Model w:
First-principles (PBE) data for an optimized crystal structure of B2TeAs, as listed in the Alexandria database.

Computed properties:
D(E_F) ... 1.6 states/eV per cell
Crystal system ... cubic
Total moment ... 0.00 μB/f.u.

Cell lengths 4.369, 4.369, 4.369 Å; angles 60.00, 60.00, 60.00 degrees
Sites, in units of the cell vectors:
Te (0.500, 0.500, 0.500)
B (0.750, 0.750, 0.750)
B (0.250, 0.250, 0.250)
As (0.000, 0.000, 0.000)

***

Model x:
First-principles (PBE) data for an optimized crystal structure of B2TeAs, as listed in the Alexandria database.

Computed properties:
D(E_F) ... 3.0 states/eV per cell
Crystal system ... tetragonal
Total moment ... 0.00 μB/f.u.

Cell lengths 5.376, 5.376, 5.925 Å; angles 63.02, 63.02, 90.00 degrees
Sites, in units of the cell vectors:
B (0.875, 0.832, 0.750)
B (0.375, 0.418, 0.750)
B (0.582, 0.125, 0.250)
B (0.168, 0.625, 0.250)
Te (0.000, 0.000, 0.000)
Te (0.750, 0.250, 0.500)
As (0.500, 0.500, 0.000)
As (0.250, 0.750, 0.500)

***

The structure with the least stability is model w.

***

Model w:
First-principles (PBE) data for an optimized crystal structure of BTeAs2, as listed in the Alexandria database.

Computed properties:
D(E_F) ... 3.3 states/eV per cell
Crystal system ... cubic
Total moment ... 0.00 μB/f.u.

Cell lengths 4.761, 4.761, 4.761 Å; angles 60.00, 60.00, 60.00 degrees
Sites, in units of the cell vectors:
Te (0.500, 0.500, 0.500)
B (0.000, 0.000, 0.000)
As (0.750, 0.750, 0.750)
As (0.250, 0.250, 0.250)

***

Model x:
First-principles (PBE) data for an optimized crystal structure of BTeAs2, as listed in the Alexandria database.

Computed properties:
D(E_F) ... 4.9 states/eV per cell
Crystal system ... tetragonal
Total moment ... 0.00 μB/f.u.

Cell lengths 6.222, 6.222, 6.121 Å; angles 59.45, 59.45, 90.00 degrees
Sites, in units of the cell vectors:
As (0.875, 0.778, 0.750)
As (0.528, 0.125, 0.250)
As (0.222, 0.625, 0.250)
As (0.375, 0.472, 0.750)
Te (0.750, 0.250, 0.500)
Te (0.000, 0.000, 0.000)
B (0.250, 0.750, 0.500)
B (0.500, 0.500, 0.000)

***

The structure with the least stability is model w.